# 1
K2ThZrO6: optimized geometry, PBE.

Summary:
DFT total energy = -7.262 eV per atom
E_form (uncorrected) = -2.4708 eV per atom

Lattice parameters (Å, degrees): 8.8018 8.8018 8.8018 90.00 90.00 90.00
Space group Fm-3m (No. 225)
Unique sites:
1 K 0.2500 0.2500 0.2500 x8
2 Th 0.0000 0.0000 0.0000 x4
3 Zr 0.0000 0.0000 0.5000 x4
4 O 0.0000 0.0000 0.2596 x24



# 2
K3TiO4: optimized geometry, PBE.

Summary:
DFT total energy = -5.798 eV per atom
E_form (uncorrected) = -1.9204 eV per atom

Lattice parameters (Å, degrees): 6.3742 8.4486 6.5917 90.00 90.00 90.00
Space group Imm2 (No. 44)
Unique sites:
1 K 0.0000 0.0000 0.0000 x2
2 K 0.0000 0.2300 0.5376 x4
3 Ti 0.0000 0.5000 0.0599 x2
4 O 0.0000 0.3175 0.9097 x4
5 O 0.2361 0.5000 0.2161 x4



# 3
K6TiO4: optimized geometry, PBE.

Summary:
DFT total energy = -4.728 eV per atom
E_form (uncorrected) = -1.6083 eV per atom

Lattice parameters (Å, degrees): 12.0070 22.6132 6.1246 90.00 90.00 90.00
Space group Cmc2_1 (No. 36)
Unique sites:
1 K 0.0000 0.0271 0.0000 x4
2 K 0.0000 0.2829 0.4888 x4
3 K 0.1479 0.1639 0.9784 x8
4 K 0.1933 0.4288 0.9958 x8
5 Ti 0.0000 0.1177 0.5547 x4
6 O 0.0000 0.1224 0.2542 x4
7 O 0.0000 0.1902 0.6898 x4
8 O 0.1213 0.0766 0.6646 x8



# 4
K4TiO4: optimized geometry, PBE.

Summary:
DFT total energy = -5.570 eV per atom
E_form (uncorrected) = -2.0010 eV per atom

Lattice parameters (Å, degrees): 9.7753 9.9519 7.2509 90.00 90.00 90.00
Space group Cmcm (No. 63)
Unique sites:
1 K 0.1555 0.1994 0.2500 x8
2 K 0.1670 0.5000 0.0000 x8
3 Ti 0.0000 0.1813 0.7500 x4
4 O 0.0000 0.2905 0.5408 x8
5 O 0.1601 0.0820 0.7500 x8



# 5
K4TiO4: optimized geometry, PBE.

Summary:
DFT total energy = -5.650 eV per atom
E_form (uncorrected) = -2.0816 eV per atom

Lattice parameters (Å, degrees): 6.4594 6.4916 9.6578 72.22 80.18 66.99
Space group P-1 (No. 2)
Unique sites:
1 K 0.2268 0.4596 0.1167 x2
2 K 0.2472 0.9134 0.3379 x2
3 K 0.2500 0.2691 0.5267 x2
4 K 0.2724 0.0161 0.9360 x2
5 Ti 0.2709 0.6570 0.7473 x2
6 O 0.0463 0.7881 0.8753 x2
7 O 0.1282 0.6651 0.5946 x2
8 O 0.4470 0.3587 0.8442 x2
9 O 0.4498 0.8364 0.6917 x2



# 6
KTiO3: optimized geometry, PBE.

Summary:
DFT total energy = -6.756 eV per atom
E_form (uncorrected) = -1.9822 eV per atom

Lattice parameters (Å, degrees): 2.8813 6.6408 6.7299 90.00 90.02 90.00
Space group P2_1/m (No. 11)
Unique sites:
1 K 0.2491 0.2500 0.4172 x2
2 Ti 0.2499 0.2500 0.9399 x2
3 O 0.2508 0.7500 0.2581 x2
4 O 0.2515 0.5966 0.8948 x4



# 7
KTiO3: optimized geometry, PBE.

Summary:
DFT total energy = -7.060 eV per atom
E_form (uncorrected) = -2.2864 eV per atom

Lattice parameters (Å, degrees): 5.8649 5.9607 7.0984 69.94 80.87 73.42
Space group P-1 (No. 2)
Unique sites:
1 K 0.1923 0.0137 0.2069 x2
2 Ti 0.2144 0.3929 0.5930 x2
3 O 0.0591 0.3425 0.4049 x2
4 O 0.2315 0.1511 0.8126 x2
5 O 0.4529 0.6056 0.5452 x2



# 8
K3Ti8O17: optimized geometry, PBE.

Summary:
DFT total energy = -8.268 eV per atom
E_form (uncorrected) = -2.8846 eV per atom

Lattice parameters (Å, degrees): 7.6723 8.1472 12.1851 95.23 90.00 103.61
Space group P-1 (No. 2)
Unique sites:
1 K 0.2211 0.3848 0.1651 x2
2 K 0.2450 0.4798 0.4569 x2
3 K 0.2779 0.6120 0.8184 x2
4 Ti 0.0563 0.7231 0.0694 x2
5 Ti 0.0753 0.8036 0.3241 x2
6 Ti 0.0999 0.8960 0.5771 x2
7 Ti 0.1214 0.9859 0.8306 x2
8 Ti 0.3783 0.0142 0.1696 x2
9 Ti 0.4017 0.1039 0.4224 x2
10 Ti 0.4235 0.1968 0.6759 x2
11 Ti 0.4450 0.2770 0.9307 x2
12 O 0.0000 0.5000 0.0000 x1
13 O 0.0346 0.6252 0.2250 x2
14 O 0.0535 0.7157 0.4636 x2
15 O 0.0711 0.8012 0.7071 x2
16 O 0.0863 0.8435 0.9353 x2
17 O 0.1138 0.9553 0.1841 x2
18 O 0.1373 0.0490 0.4337 x2
19 O 0.1574 0.1297 0.6757 x2
20 O 0.1820 0.2275 0.9129 x2
21 O 0.3186 0.7740 0.0869 x2
22 O 0.3426 0.8705 0.3252 x2
23 O 0.3629 0.9514 0.5674 x2
24 O 0.3859 0.0433 0.8151 x2
25 O 0.4146 0.1567 0.0650 x2
26 O 0.4205 0.1994 0.2930 x2
27 O 0.4456 0.2842 0.5364 x2
28 O 0.4720 0.3748 0.7752 x2
29 O 0.5000 0.5000 0.0000 x1